Entry from the Alexandria database: a relaxed Zn12Ag17 crystal (PBEsol).

Properties
ρ in g/cm³: 9.8
Formation enthalpy at 0 K in meV/atom: -64

Cell: 9.6258 9.6258 9.6258 Å, 90.00 90.00 90.00°
Space group I-43m (No. 217)
Inequivalent atoms, fractional coordinates:
Zn 0.0919 0.0919 0.7195 (multiplicity 24)
Ag 0.0000 0.0000 0.0000 (multiplicity 2)
Ag 0.0442 0.3584 0.6416 (multiplicity 24)
Ag 0.1713 0.1713 0.1713 (multiplicity 8)


Entry from the Alexandria database: a relaxed ZnAg crystal (PBEsol).

Properties
ρ in g/cm³: 9.4
Formation enthalpy at 0 K in meV/atom: -38

Cell: 8.9381 7.6708 5.3588 Å, 90.00 90.00 90.00°
Space group Pbcm (No. 57)
Inequivalent atoms, fractional coordinates:
Zn 0.0815 0.0502 0.2500 (multiplicity 4)
Zn 0.3669 0.6071 0.2500 (multiplicity 4)
Zn 0.4087 0.2500 0.0000 (multiplicity 4)
Ag 0.1252 0.7500 0.0000 (multiplicity 4)
Ag 0.1638 0.1304 0.7500 (multiplicity 4)
Ag 0.3641 0.5450 0.7500 (multiplicity 4)


Entry from the Alexandria database: a relaxed ZnAg crystal (PBEsol).

Properties
ρ in g/cm³: 9.4
Formation enthalpy at 0 K in meV/atom: -47

Cell: 2.8272 4.5555 4.7341 Å, 90.00 90.00 90.00°
Space group Pmmn (No. 59, origin choice 2)
Inequivalent atoms, fractional coordinates:
Zn 0.2500 0.2500 0.0877 (multiplicity 2)
Ag 0.2500 0.7500 0.4031 (multiplicity 2)


Entry from the Alexandria database: a relaxed ZnAg2 crystal (PBEsol).

Properties
ρ in g/cm³: 10.0
Relative energy among the computed polymorphs in kJ/mol of formula units: 6.0
Formation enthalpy at 0 K in meV/atom: -50

Cell: 5.4538 4.2625 8.0363 Å, 90.00 90.00 90.00°
Space group Pnma (No. 62)
Inequivalent atoms, fractional coordinates:
Zn 0.1778 0.2500 0.1031 (multiplicity 4)
Ag 0.0565 0.2500 0.7769 (multiplicity 4)
Ag 0.1678 0.2500 0.4339 (multiplicity 4)


Entry from the Alexandria database: a relaxed ZnAg crystal (PBEsol).

Properties
ρ in g/cm³: 9.5
Formation enthalpy at 0 K in meV/atom: -62

Cell: 3.1118 3.1118 3.1118 Å, 90.00 90.00 90.00°
Space group Pm-3m (No. 221)
Inequivalent atoms, fractional coordinates:
Zn 0.0000 0.0000 0.0000 (multiplicity 1)
Ag 0.5000 0.5000 0.5000 (multiplicity 1)


Entry from the Alexandria database: a relaxed ZnAg3 crystal (PBEsol).

Properties
ρ in g/cm³: 10.2
Formation enthalpy at 0 K in meV/atom: -30

Cell: 2.8848 3.8843 5.6647 Å, 90.00 90.00 90.00°
Space group Pmmm (No. 47)
Inequivalent atoms, fractional coordinates:
Zn 0.0000 0.0000 0.0000 (multiplicity 1)
Ag 0.0000 0.0000 0.5000 (multiplicity 1)
Ag 0.5000 0.5000 0.2424 (multiplicity 2)


Number 1: D(E_F) 0.22 states/eV per atom. Number 2: D(E_F) 0.24 states/eV per atom. Number 3: D(E_F) 0.31 states/eV per atom. Number 4: D(E_F) 0.30 states/eV per atom. Number 5: D(E_F) 0.31 states/eV per atom. Number 6: D(E_F) 0.23 states/eV per atom.